Crystalline SmDy2Mn at its relaxed geometry. Source: Alexandria, functional PBE.

```
4
Lattice="4.7618 0.0000 0.0000 0.0000 4.7618 0.0000 0.0000 0.0000 4.8406" Properties=species:S:1:pos:R:3 pbc="T T T"
Sm 0.0000 0.0000 0.0000
Dy 0.0000 2.3809 2.4203
Dy 2.3809 0.0000 2.4203
Mn 2.3809 2.3809 0.0000
```

- Space group: No. 123
- Calculated volume: 109.8 Å³ per cell
- D(E_F): 1.317 states/eV/atom
- Energy: -5.537 eV per atom
- Distance to the lowest polymorph of the same formula: 111.2 meV per atom